# 1
This record from the Alexandria database describes BaCuN2 after structural relaxation. The functional is PBE-GGA.

The structure in POSCAR format:
```
BaCuN2
1.0
-2.8187 -2.4340 -2.6625
3.5319 -1.1747 -2.6653
1.3434 -6.7730 0.8337
Ba Cu N
2 2 4
direct
0.0000 0.0000 0.0000 Ba
0.7500 0.2500 0.5000 Ba
0.5000 0.5000 0.0000 Cu
0.2500 0.7500 0.5000 Cu
0.3331 0.1250 0.2500 N
0.4169 0.6250 0.2500 N
0.3750 0.6669 0.7500 N
0.8750 0.5831 0.7500 N
```

Computed properties:
Formation energy (no corrections) ... 0.457 eV per atom
Symmetry ... I-42d (122)
Total energy ... -5.211 eV per atom

# 2
This record from the Alexandria database describes Sm3Zn5O12 after structural relaxation. The functional is PBE-GGA.

The structure in POSCAR format:
```
Sm3Zn5O12
1.0
-6.1965 -3.6946 -8.3132
10.6332 -0.6989 -2.7572
-1.8740 -6.1024 8.9669
Sm Zn O
12 20 48
direct
0.7500 0.3750 0.1250 Sm
0.8750 0.7500 0.1250 Sm
0.3750 0.7500 0.6250 Sm
0.2500 0.1250 0.3750 Sm
0.8750 0.1250 0.2500 Sm
0.3750 0.6250 0.2500 Sm
0.6250 0.3750 0.7500 Sm
0.1250 0.8750 0.7500 Sm
0.7500 0.8750 0.6250 Sm
0.6250 0.2500 0.3750 Sm
0.1250 0.2500 0.8750 Sm
0.2500 0.6250 0.8750 Sm
0.1250 0.3750 0.2500 Zn
0.0000 0.5000 0.0000 Zn
0.0000 0.0000 0.0000 Zn
0.3750 0.2500 0.1250 Zn
0.5000 0.0000 0.5000 Zn
0.5000 0.5000 0.0000 Zn
0.1250 0.7500 0.3750 Zn
0.7500 0.1250 0.8750 Zn
0.7500 0.6250 0.3750 Zn
0.3750 0.1250 0.7500 Zn
0.6250 0.8750 0.2500 Zn
0.5000 0.5000 0.5000 Zn
0.5000 0.0000 0.0000 Zn
0.0000 0.0000 0.5000 Zn
0.2500 0.3750 0.6250 Zn
0.2500 0.8750 0.1250 Zn
0.0000 0.5000 0.5000 Zn
0.8750 0.2500 0.6250 Zn
0.6250 0.7500 0.8750 Zn
0.8750 0.6250 0.7500 Zn
0.7085 0.1256 0.0335 O
0.3249 0.5335 0.4079 O
0.9665 0.3744 0.2915 O
0.5335 0.2085 0.1256 O
0.5829 0.7085 0.6751 O
0.9665 0.5921 0.1751 O
0.3249 0.7915 0.4171 O
0.0921 0.9171 0.1256 O
0.5921 0.9665 0.6751 O
0.7085 0.5829 0.1751 O
0.7915 0.4665 0.3744 O
0.8249 0.9079 0.0335 O
0.1256 0.7085 0.5335 O
0.3744 0.4079 0.0829 O
0.0829 0.9079 0.3744 O
0.4171 0.1256 0.5921 O
0.0829 0.1751 0.2085 O
0.4665 0.6751 0.0921 O
0.8249 0.9171 0.2915 O
0.1256 0.4171 0.0921 O
0.3744 0.9665 0.7915 O
0.5921 0.6256 0.4171 O
0.9079 0.8249 0.5335 O
0.7915 0.3249 0.9171 O
0.4079 0.3744 0.5829 O
0.0921 0.1751 0.4665 O
0.2085 0.6751 0.0829 O
0.1751 0.0829 0.7085 O
0.6256 0.0335 0.2085 O
0.8744 0.5829 0.9079 O
0.5335 0.3249 0.9079 O
0.5829 0.8744 0.4079 O
0.9171 0.8249 0.7915 O
0.9171 0.0921 0.6256 O
0.8744 0.2915 0.4665 O
0.1751 0.0921 0.9665 O
0.6256 0.5921 0.9171 O
0.4079 0.0335 0.3249 O
0.2915 0.4171 0.8249 O
0.2085 0.5335 0.6256 O
0.9079 0.0829 0.8744 O
0.6751 0.2085 0.5829 O
0.4665 0.7915 0.8744 O
0.0335 0.4079 0.8249 O
0.4171 0.2915 0.3249 O
0.0335 0.6256 0.7085 O
0.6751 0.4665 0.5921 O
0.2915 0.8744 0.9665 O
```

Computed properties:
Formation energy (no corrections) ... -1.802 eV per atom
Symmetry ... Ia-3d (230)
Total energy ... -5.803 eV per atom

# 3
This record from the Alexandria database describes FeCu2Mo after structural relaxation. The functional is PBE-GGA.

The structure in POSCAR format:
```
FeCu2Mo
1.0
8.9068 0.0010 0.0006
8.5186 2.6007 0.0006
8.5186 1.2719 2.2685
Cu Fe Mo
2 1 1
direct
0.9965 0.9965 0.9965 Cu
0.5035 0.5035 0.5035 Cu
0.2500 0.2500 0.2500 Fe
0.7500 0.7500 0.7500 Mo
```

Computed properties:
Formation energy from the elements ... 293 meV per atom
Symmetry ... R-3m (166)
Total energy ... -6.578 eV per atom

# 4
This record from the Alexandria database describes Y3Ho2Er6Pb after structural relaxation. The functional is PBE-GGA.

The structure in POSCAR format:
```
Y3Ho2Er6Pb
1.0
-2.2832 2.2521 -5.1596
2.1645 -5.6745 0.1454
-10.3181 -2.7293 4.5727
Y Ho Er Pb
3 2 6 1
direct
0.1668 0.8332 0.5000 Y
0.8332 0.1668 0.5000 Y
0.5000 0.5000 0.5000 Y
0.3339 0.6661 0.0000 Ho
0.6661 0.3339 0.0000 Ho
0.9185 0.5884 0.7530 Er
0.7519 0.7519 0.2482 Er
0.0815 0.4116 0.2470 Er
0.5884 0.9185 0.7530 Er
0.2481 0.2481 0.7518 Er
0.4116 0.0815 0.2470 Er
0.0000 0.0000 0.0000 Pb
```

Computed properties:
Formation energy from the elements ... -43 meV per atom
Symmetry ... C2/m (12)
Total energy ... -5.013 eV per atom

# 5
This record from the Alexandria database describes LiNdY2 after structural relaxation. The functional is PBE-GGA.

The structure in POSCAR format:
```
LiNdY2
1.0
3.7272 0.0000 0.0000
0.0000 5.7148 0.0000
0.0000 0.0000 5.7148
Y Nd Li
2 1 1
direct
0.0000 0.0000 0.5000 Y
0.0000 0.5000 0.0000 Y
0.5000 0.5000 0.5000 Nd
0.5000 0.0000 0.0000 Li
```

Computed properties:
Formation energy from the elements ... 170 meV per atom
Symmetry ... P4/mmm (123)
Total energy ... -4.733 eV per atom

# 6
This record from the Alexandria database describes BeTeAs after structural relaxation. The functional is PBE-GGA.

The structure in POSCAR format:
```
BeTeAs
1.0
8.2962 0.1043 -0.0359
7.1382 4.2291 0.0359
-7.7285 -2.1264 2.1420
Be As Te
1 1 1
direct
0.4755 0.4755 0.0000 Be
0.8975 0.8975 0.0000 As
0.6270 0.6270 0.0000 Te
```

Computed properties:
Formation energy (no corrections) ... 0.159 eV per atom
Symmetry ... Imm2 (44)
Total energy ... -3.680 eV per atom

# 7
This record from the Alexandria database describes LiHgSe2 after structural relaxation. The functional is PBE-GGA.

The structure in POSCAR format:
```
LiHgSe2
1.0
-6.4604 0.9100 -3.1605
-7.2378 0.3981 -0.0978
0.2135 4.0734 0.7351
Hg Li Se
1 1 2
direct
0.5408 0.5408 0.6230 Hg
0.2833 0.2833 0.1264 Li
0.9506 0.9506 0.1242 Se
0.7254 0.7254 0.6264 Se
```

Computed properties:
Formation energy (no corrections) ... -0.369 eV per atom
Symmetry ... Cm (8)
Total energy ... -2.665 eV per atom

# 8
This record from the Alexandria database describes InCuAg3 after structural relaxation. The functional is PBE-GGA.

The structure in POSCAR format:
```
InCuAg3
1.0
-1.3828 3.6056 -0.6026
-1.7833 -1.5907 -5.4256
-13.5794 -4.2536 5.7104
In Cu Ag
4 4 12
direct
0.2500 0.1300 0.3566 In
0.7500 0.8700 0.6434 In
0.7500 0.3700 0.8566 In
0.2500 0.6300 0.1434 In
0.2500 0.6088 0.5440 Cu
0.7500 0.3912 0.4560 Cu
0.7500 0.8912 0.0440 Cu
0.2500 0.1088 0.9560 Cu
0.7500 0.3734 0.2485 Ag
0.2500 0.6422 0.9555 Ag
0.2500 0.1145 0.1425 Ag
0.2500 0.6145 0.3575 Ag
0.2500 0.1422 0.5445 Ag
0.7500 0.3855 0.6425 Ag
0.2500 0.1266 0.7485 Ag
0.7500 0.8855 0.8575 Ag
0.7500 0.3578 0.0445 Ag
0.7500 0.8734 0.2515 Ag
0.7500 0.8578 0.4555 Ag
0.2500 0.6266 0.7515 Ag
```

Computed properties:
Formation energy from the elements ... 34 meV per atom
Symmetry ... Pnma (62)
Total energy ... -3.043 eV per atom

Q: Which of these has the lowest total energy?
A: FeCu2Mo

What did the seventh record say?
This record from the Alexandria database describes LiHgSe2 after structural relaxation. The functional is PBE-GGA.

The structure in POSCAR format:
```
LiHgSe2
1.0
-6.4604 0.9100 -3.1605
-7.2378 0.3981 -0.0978
0.2135 4.0734 0.7351
Hg Li Se
1 1 2
direct
0.5408 0.5408 0.6230 Hg
0.2833 0.2833 0.1264 Li
0.9506 0.9506 0.1242 Se
0.7254 0.7254 0.6264 Se
```

Computed properties:
Formation energy (no corrections) ... -0.369 eV per atom
Symmetry ... Cm (8)
Total energy ... -2.665 eV per atom

Q: Among the records above, which one has the highest total energy?
A: LiHgSe2

What did the seventh record say?
This record from the Alexandria database describes LiHgSe2 after structural relaxation. The functional is PBE-GGA.

The structure in POSCAR format:
```
LiHgSe2
1.0
-6.4604 0.9100 -3.1605
-7.2378 0.3981 -0.0978
0.2135 4.0734 0.7351
Hg Li Se
1 1 2
direct
0.5408 0.5408 0.6230 Hg
0.2833 0.2833 0.1264 Li
0.9506 0.9506 0.1242 Se
0.7254 0.7254 0.6264 Se
```

Computed properties:
Formation energy (no corrections) ... -0.369 eV per atom
Symmetry ... Cm (8)
Total energy ... -2.665 eV per atom